Here is a geometry-optimized Ca2Ac8La structure from Alexandria via LeMat-Bulk. Energies are from PBE.

Output
Fermi-level density of states in states/eV/cell: 17.1
V in Å³/atom: 45.05
Calculated formation energy in kJ/mol of formula units: 164
Size of the total moment in μB per cell: 0.001

a = 9.2549 Å, b = 9.2549 Å, c = 6.0019 Å
α = 90.00°, β = 90.00°, γ = 105.44°
Last column: nearest neighbours and their distance in Å.
Element x y z (fractional)
Ca 0.1171 0.8829 0.0000  1 Ca 3.45, 4 Ac 3.57-3.73
Ca 0.8829 0.1171 0.0000  1 Ca 3.45, 4 Ac 3.57-3.73
Ac 0.1729 0.1729 0.5000  1 La 3.67, 5 Ac 3.88-4.00, 4 Ca 3.97
Ac 0.2001 0.4648 0.0000  2 Ca 3.73-4.14, 7 Ac 3.76-4.00, 2 La 4.04
Ac 0.2490 0.7510 0.5000  2 Ca 3.57, 1 La 3.70, 4 Ac 3.95
Ac 0.4648 0.2001 0.0000  2 Ca 3.73-4.14, 7 Ac 3.76-4.00, 2 La 4.04
Ac 0.5352 0.7999 0.0000  2 Ca 3.73-4.14, 7 Ac 3.76-4.00, 2 La 4.04
Ac 0.7510 0.2490 0.5000  2 Ca 3.57, 1 La 3.70, 4 Ac 3.95
Ac 0.7999 0.5352 0.0000  2 Ca 3.73-4.14, 7 Ac 3.76-4.00, 2 La 4.04
Ac 0.8271 0.8271 0.5000  1 La 3.67, 5 Ac 3.88-4.00, 4 Ca 3.97
La 0.5000 0.5000 0.5000  12 Ac 3.67-4.04

***

Here is a geometry-optimized Ca2Ac3La3 structure from Alexandria via LeMat-Bulk. Energies are from PBE.

Output
Fermi-level density of states in states/eV/cell: 26.1
V in Å³/atom: 41.20
Calculated formation energy in kJ/mol of formula units: 24
Size of the total moment in μB per cell: 0.001

a = 5.4476 Å, b = 5.5081 Å, c = 21.9678 Å
α = 90.00°, β = 90.00°, γ = 90.00°
Last column: nearest neighbours and their distance in Å.
Element x y z (fractional)
Ca 0.0000 0.0000 0.2498  4 Ca 3.87, 4 Ac 3.94-3.96, 4 La 3.97-3.99
Ca 0.0000 0.0000 0.7502  4 Ca 3.87, 4 Ac 3.94-3.96, 4 La 3.97-3.99
Ca 0.5000 0.5000 0.2502  4 Ca 3.87, 4 Ac 3.94-3.96, 4 La 3.97-3.99
Ca 0.5000 0.5000 0.7498  4 Ca 3.87, 4 Ac 3.94-3.96, 4 La 3.97-3.99
Ac 0.0000 0.0000 0.0000  8 La 3.77-3.87, 4 Ac 3.82
Ac 0.0000 0.5000 0.1205  6 La 3.80-3.87, 2 Ac 3.82, 4 Ca 3.94-3.96
Ac 0.0000 0.5000 0.8795  6 La 3.80-3.87, 2 Ac 3.82, 4 Ca 3.94-3.96
Ac 0.5000 0.0000 0.3795  6 La 3.80-3.87, 2 Ac 3.82, 4 Ca 3.94-3.96
Ac 0.5000 0.0000 0.6205  6 La 3.80-3.87, 2 Ac 3.82, 4 Ca 3.94-3.96
Ac 0.5000 0.5000 0.5000  8 La 3.77-3.87, 4 Ac 3.82
La 0.0000 0.0000 0.5000  4 La 3.79, 8 Ac 3.80-3.87
La 0.0000 0.5000 0.3814  6 Ac 3.77-3.87, 2 La 3.79, 4 Ca 3.97-3.99
La 0.0000 0.5000 0.6186  6 Ac 3.77-3.87, 2 La 3.79, 4 Ca 3.97-3.99
La 0.5000 0.0000 0.1186  6 Ac 3.77-3.87, 2 La 3.79, 4 Ca 3.97-3.99
La 0.5000 0.0000 0.8814  6 Ac 3.77-3.87, 2 La 3.79, 4 Ca 3.97-3.99
La 0.5000 0.5000 0.0000  4 La 3.79, 8 Ac 3.80-3.87

***

Here is a geometry-optimized CaAc4La15 structure from Alexandria via LeMat-Bulk. Energies are from PBE.

Output
Fermi-level density of states in states/eV/cell: 36.0
V in Å³/atom: 38.61
Calculated formation energy in kJ/mol of formula units: 43
Size of the total moment in μB per cell: 0.001

a = 5.3829 Å, b = 5.3829 Å, c = 26.6491 Å
α = 90.00°, β = 90.00°, γ = 90.00°
Last column: nearest neighbours and their distance in Å.
Element x y z (fractional)
Ca 0.0000 0.0000 0.0000  12 La 3.80-3.81
Ac 0.0000 0.0000 0.1995  12 La 3.76-3.81
Ac 0.0000 0.0000 0.3999  12 La 3.79-3.81
Ac 0.0000 0.0000 0.6001  12 La 3.79-3.81
Ac 0.0000 0.0000 0.8005  12 La 3.76-3.81
La 0.0000 0.5000 0.1009  8 La 3.73-3.81, 2 Ac 3.76, 2 Ca 3.80
La 0.0000 0.5000 0.2994  4 Ac 3.79-3.80, 8 La 3.79-3.82
La 0.0000 0.5000 0.5000  4 Ac 3.79, 8 La 3.80-3.81
La 0.0000 0.5000 0.7006  4 Ac 3.79-3.80, 8 La 3.79-3.82
La 0.0000 0.5000 0.8991  8 La 3.73-3.81, 2 Ac 3.76, 2 Ca 3.80
La 0.5000 0.0000 0.1009  8 La 3.73-3.81, 2 Ac 3.76, 2 Ca 3.80
La 0.5000 0.0000 0.2994  4 Ac 3.79-3.80, 8 La 3.79-3.82
La 0.5000 0.0000 0.5000  4 Ac 3.79, 8 La 3.80-3.81
La 0.5000 0.0000 0.7006  4 Ac 3.79-3.80, 8 La 3.79-3.82
La 0.5000 0.0000 0.8991  8 La 3.73-3.81, 2 Ac 3.76, 2 Ca 3.80
La 0.5000 0.5000 0.0000  8 La 3.80, 4 Ca 3.81
La 0.5000 0.5000 0.1976  8 La 3.73-3.82, 4 Ac 3.81
La 0.5000 0.5000 0.3996  8 La 3.79-3.80, 4 Ac 3.81
La 0.5000 0.5000 0.6004  8 La 3.79-3.80, 4 Ac 3.81
La 0.5000 0.5000 0.8024  8 La 3.73-3.82, 4 Ac 3.81

***

Here is a geometry-optimized CaAc2La structure from Alexandria via LeMat-Bulk. Energies are from PBE.

Output
Fermi-level density of states in states/eV/cell: 5.6
V in Å³/atom: 42.29
Calculated formation energy in kJ/mol of formula units: 7
Relative energy among the computed polymorphs in meV/atom: 0
Size of the total moment in μB per cell: 0.001

a = 3.9126 Å, b = 3.9126 Å, c = 11.0491 Å
α = 90.00°, β = 90.00°, γ = 90.00°
Last column: nearest neighbours and their distance in Å.
Element x y z (fractional)
Ca 0.0000 0.0000 0.0000  4 Ca 3.91, 8 Ac 4.00
Ac 0.5000 0.5000 0.2613  4 La 3.82, 4 Ac 3.91, 4 Ca 4.00
Ac 0.5000 0.5000 0.7387  4 La 3.82, 4 Ac 3.91, 4 Ca 4.00
La 0.0000 0.0000 0.5000  8 Ac 3.82, 4 La 3.91

***

Here is a geometry-optimized Ca2Ac5La2 structure from Alexandria via LeMat-Bulk. Energies are from PBE.

Output
Fermi-level density of states in states/eV/cell: 14.9
V in Å³/atom: 42.66
Calculated formation energy in kJ/mol of formula units: 27
Relative energy among the computed polymorphs in meV/atom: 0
Size of the total moment in μB per cell: 0.000

a = 6.7891 Å, b = 6.7920 Å, c = 10.3653 Å
α = 90.19°, β = 108.81°, γ = 119.97°
Last column: nearest neighbours and their distance in Å.
Element x y z (fractional)
Ca 0.1654 0.3291 0.0007  3 Ca 3.87-3.95, 7 Ac 3.90-3.97, 2 La 3.98-4.00
Ca 0.8346 0.6709 0.9993  3 Ca 3.87-3.95, 7 Ac 3.90-3.97, 2 La 3.98-4.00
Ac 0.0573 0.4464 0.3368  4 La 3.84-3.97, 6 Ac 3.85-3.95, 2 Ca 3.94-3.97
Ac 0.2739 0.2179 0.6630  4 La 3.84-3.96, 6 Ac 3.85-3.95, 2 Ca 3.95-3.97
Ac 0.5000 0.0000 0.0000  6 Ca 3.90-3.95, 4 Ac 3.95, 2 La 3.96
Ac 0.7261 0.7821 0.3370  4 La 3.84-3.96, 6 Ac 3.85-3.95, 2 Ca 3.95-3.97
Ac 0.9427 0.5536 0.6632  4 La 3.84-3.97, 6 Ac 3.85-3.95, 2 Ca 3.94-3.97
La 0.3976 0.1099 0.3416  1 La 3.76, 9 Ac 3.84-3.97, 2 Ca 3.98-4.00
La 0.6024 0.8901 0.6584  1 La 3.76, 9 Ac 3.84-3.97, 2 Ca 3.98-4.00

***

Here is a geometry-optimized CaAc2La5 structure from Alexandria via LeMat-Bulk. Energies are from PBE.

Output
Fermi-level density of states in states/eV/cell: 27.1
V in Å³/atom: 40.10
Calculated formation energy in kJ/mol of formula units: 43
Size of the total moment in μB per cell: 0.000

a = 3.8016 Å, b = 11.9619 Å, c = 14.1090 Å
α = 90.00°, β = 90.00°, γ = 90.00°
Last column: nearest neighbours and their distance in Å.
Element x y z (fractional)
Ca 0.0000 0.0000 0.0000  2 Ca 3.80, 4 Ac 3.90, 8 La 4.20
Ca 0.5000 0.5000 0.5000  2 Ca 3.80, 4 Ac 3.90, 8 La 4.20
Ac 0.0000 0.5000 0.2590  7 La 3.64-3.79, 2 Ac 3.80, 2 Ca 3.90
Ac 0.0000 0.5000 0.7410  7 La 3.64-3.79, 2 Ac 3.80, 2 Ca 3.90
Ac 0.5000 0.0000 0.2410  7 La 3.64-3.79, 2 Ac 3.80, 2 Ca 3.90
Ac 0.5000 0.0000 0.7590  7 La 3.64-3.79, 2 Ac 3.80, 2 Ca 3.90
La 0.0000 0.2262 0.3717  7 La 3.62-3.97, 3 Ac 3.64-3.79
La 0.0000 0.2262 0.6283  7 La 3.62-3.97, 3 Ac 3.64-3.79
La 0.0000 0.5000 0.0000  2 Ac 3.65, 10 La 3.77-3.80
La 0.0000 0.7738 0.3717  7 La 3.62-3.97, 3 Ac 3.64-3.79
La 0.0000 0.7738 0.6283  7 La 3.62-3.97, 3 Ac 3.64-3.79
La 0.5000 0.0000 0.5000  2 Ac 3.65, 10 La 3.77-3.80
La 0.5000 0.2738 0.1283  7 La 3.62-3.97, 3 Ac 3.64-3.79
La 0.5000 0.2738 0.8717  7 La 3.62-3.97, 3 Ac 3.64-3.79
La 0.5000 0.7262 0.1283  7 La 3.62-3.97, 3 Ac 3.64-3.79
La 0.5000 0.7262 0.8717  7 La 3.62-3.97, 3 Ac 3.64-3.79

***

Here is a geometry-optimized CaAc4La structure from Alexandria via LeMat-Bulk. Energies are from PBE.

Output
Fermi-level density of states in states/eV/cell: 20.1
V in Å³/atom: 44.20
Calculated formation energy in kJ/mol of formula units: 99
Relative energy among the computed polymorphs in meV/atom: 147
Size of the total moment in μB per cell: 0.000

a = 8.0711 Å, b = 6.4596 Å, c = 10.1723 Å
α = 90.00°, β = 90.00°, γ = 90.00°
Last column: nearest neighbours and their distance in Å.
Element x y z (fractional)
Ca 0.2500 0.0000 0.1548  3 La 3.66-4.07, 6 Ac 3.82-4.05
Ca 0.7500 0.0000 0.8452  3 La 3.66-4.07, 6 Ac 3.82-4.05
Ac 0.0000 0.0000 0.5000  2 La 3.61, 6 Ac 3.81-4.04
Ac 0.0013 0.5000 0.8202  5 Ac 3.66-4.06, 2 La 3.81, 2 Ca 3.82
Ac 0.2500 0.5000 0.5104  10 Ac 3.74-4.04
Ac 0.4987 0.5000 0.8202  5 Ac 3.66-4.06, 2 La 3.81, 2 Ca 3.82
Ac 0.5000 0.0000 0.5000  2 La 3.61, 6 Ac 3.81-4.04
Ac 0.5013 0.5000 0.1798  5 Ac 3.66-4.06, 2 La 3.81, 2 Ca 3.82
Ac 0.7500 0.5000 0.4896  10 Ac 3.74-4.04
Ac 0.9987 0.5000 0.1798  5 Ac 3.66-4.06, 2 La 3.81, 2 Ca 3.82
La 0.2500 0.0000 0.7948  6 Ac 3.61-3.81, 1 Ca 3.66
La 0.7500 0.0000 0.2052  6 Ac 3.61-3.81, 1 Ca 3.66

***

Here is a geometry-optimized CaAc15La4 structure from Alexandria via LeMat-Bulk. Energies are from PBE.

Output
Fermi-level density of states in states/eV/cell: 35.6
V in Å³/atom: 43.33
Calculated formation energy in kJ/mol of formula units: 37
Size of the total moment in μB per cell: 0.000

a = 5.5904 Å, b = 5.5904 Å, c = 27.7277 Å
α = 90.00°, β = 90.00°, γ = 90.00°
Last column: nearest neighbours and their distance in Å.
Element x y z (fractional)
Ca 0.0000 0.0000 0.0000  12 Ac 3.95-3.98
Ac 0.0000 0.5000 0.1019  2 La 3.89, 8 Ac 3.90-3.98, 2 Ca 3.98
Ac 0.0000 0.5000 0.2999  8 Ac 3.93-3.95, 4 La 3.94
Ac 0.0000 0.5000 0.5000  4 La 3.94, 8 Ac 3.94-3.95
Ac 0.0000 0.5000 0.7001  8 Ac 3.93-3.95, 4 La 3.94
Ac 0.0000 0.5000 0.8981  2 La 3.89, 8 Ac 3.90-3.98, 2 Ca 3.98
Ac 0.5000 0.0000 0.1019  2 La 3.89, 8 Ac 3.90-3.98, 2 Ca 3.98
Ac 0.5000 0.0000 0.2999  8 Ac 3.93-3.95, 4 La 3.94
Ac 0.5000 0.0000 0.5000  4 La 3.94, 8 Ac 3.94-3.95
Ac 0.5000 0.0000 0.7001  8 Ac 3.93-3.95, 4 La 3.94
Ac 0.5000 0.0000 0.8981  2 La 3.89, 8 Ac 3.90-3.98, 2 Ca 3.98
Ac 0.5000 0.5000 0.0000  4 Ca 3.95, 8 Ac 3.98
Ac 0.5000 0.5000 0.2000  8 Ac 3.90-3.94, 4 La 3.95
Ac 0.5000 0.5000 0.3998  8 Ac 3.93-3.94, 4 La 3.95
Ac 0.5000 0.5000 0.6002  8 Ac 3.93-3.94, 4 La 3.95
Ac 0.5000 0.5000 0.8000  8 Ac 3.90-3.94, 4 La 3.95
La 0.0000 0.0000 0.1996  12 Ac 3.89-3.95
La 0.0000 0.0000 0.4001  12 Ac 3.94-3.95
La 0.0000 0.0000 0.5999  12 Ac 3.94-3.95
La 0.0000 0.0000 0.8004  12 Ac 3.89-3.95